# 1
Below is an optimized crystal structure of CaBS, with properties calculated at the GGA-PBE level.

Results
mass density = 2.50 g cm⁻³
energy relative to the elements, uncorrected = -0.819 eV/atom
E above lowest polymorph = 3.295 kcal/mol of atoms

abc: 3.4436 4.1472 8.6135
angles: 76.67 84.27 66.85
Fractional coordinates of all 6 atoms:
Ca 0.8858 0.9797 0.1396
Ca 0.5408 0.4927 0.5456
B 0.6385 0.5907 0.9349
B 0.1720 0.5324 0.9316
S 0.2226 0.2186 0.3503
S 0.8498 0.7979 0.7364

=====

# 2
Below is an optimized crystal structure of LiEr2Pb, with properties calculated at the GGA-PBE level.

Results
formation energy = 0.174 eV per atom
mass density = 7.75 g cm⁻³

abc: 3.4333 3.4333 11.6892
angles: 81.56 81.56 60.00
Fractional coordinates of all 4 atoms:
Pb 0.0000 0.0000 0.0000
Li 0.5000 0.5000 0.5000
Er 0.0911 0.0911 0.7267
Er 0.9089 0.9089 0.2733

=====

# 3
Below is an optimized crystal structure of InRhOF2, with properties calculated at the GGA-PBE level.

Results
mass density = 5.96 g cm⁻³
energy relative to the elements, uncorrected = -0.870 eV/atom
E above lowest polymorph = 5.025 kcal/mol of atoms

abc: 4.2652 4.2652 4.1643
angles: 90.00 90.00 90.00
Site moments in Bohr magnetons follow the coordinates.
Fractional coordinates of all 5 atoms:
F 0.0000 0.5000 0.0000  0.01
F 0.5000 0.0000 0.0000  0.01
Rh 0.5000 0.5000 0.5000  1.73
O 0.0000 0.0000 0.5000  0.09
In 0.0000 0.0000 0.0000  0.00

=====

# 4
Below is an optimized crystal structure of Tm2Hg2Pb, with properties calculated at the GGA-PBE level.

Results
formation energy = -0.369 eV per atom
mass density = 12.01 g cm⁻³
E above lowest polymorph = 0.000 kcal/mol of atoms

abc: 3.7168 8.3912 8.3912
angles: 90.00 90.00 90.00
Fractional coordinates of all 10 atoms:
Tm 0.5000 0.1671 0.6671
Tm 0.5000 0.6671 0.8329
Tm 0.5000 0.8329 0.3329
Tm 0.5000 0.3329 0.1671
Hg 0.0000 0.3702 0.8702
Hg 0.0000 0.8702 0.6298
Hg 0.0000 0.6298 0.1298
Hg 0.0000 0.1298 0.3702
Pb 0.0000 0.0000 0.0000
Pb 0.0000 0.5000 0.5000

=====

# 5
Below is an optimized crystal structure of KAsRu2, with properties calculated at the GGA-PBE level.

Results
formation energy = 0.314 eV per atom
mass density = 6.16 g cm⁻³

abc: 4.2013 2.9268 7.0475
angles: 79.60 90.00 90.00
Site moments in Bohr magnetons follow the coordinates.
Fractional coordinates of all 4 atoms:
As 0.0000 0.3574 0.4176  0.03
K 0.5000 0.7169 0.7376  0.01
Ru 0.0000 0.9856 0.1230  0.41
Ru 0.5000 0.4401 0.2217  0.09

=====

# 6
Below is an optimized crystal structure of SrCoTeI2, with properties calculated at the GGA-PBE level.

Results
mass density = 5.55 g cm⁻³
energy relative to the elements, uncorrected = -0.492 eV/atom

abc: 5.4723 5.4723 5.2727
angles: 90.00 90.00 90.00
Site moments in Bohr magnetons follow the coordinates.
Fractional coordinates of all 5 atoms:
I 0.0000 0.5000 0.0000  0.04
I 0.5000 0.0000 0.0000  0.04
Sr 0.5000 0.5000 0.5000  0.00
Te 0.0000 0.0000 0.5000  0.12
Co 0.0000 0.0000 0.0000  1.68

=====

# 7
Below is an optimized crystal structure of V2FeRh5, with properties calculated at the GGA-PBE level.

Results
formation energy = -0.333 eV per atom
mass density = 10.33 g cm⁻³

abc: 3.7991 5.3405 10.6529
angles: 90.00 90.00 90.00
Site moments in Bohr magnetons follow the coordinates.
Fractional coordinates of all 16 atoms:
V 0.5000 0.2553 0.3761  -0.41
V 0.5000 0.7447 0.6239  -0.41
V 0.5000 0.2447 0.8761  -0.41
V 0.5000 0.7553 0.1239  -0.41
Fe 0.0000 0.0000 0.5000  2.11
Fe 0.0000 0.5000 0.0000  2.11
Rh 0.5000 0.2669 0.1194  0.07
Rh 0.5000 0.7331 0.8806  0.07
Rh 0.5000 0.7669 0.3806  0.07
Rh 0.5000 0.2331 0.6194  0.07
Rh 0.0000 0.9829 0.7469  0.07
Rh 0.0000 0.0171 0.2531  0.07
Rh 0.0000 0.4829 0.7531  0.07
Rh 0.0000 0.5171 0.2469  0.07
Rh 0.0000 0.5000 0.5000  0.06
Rh 0.0000 0.0000 0.0000  0.06

=====

# 8
Below is an optimized crystal structure of Eu2LuAl, with properties calculated at the GGA-PBE level.

Results
formation energy = -0.046 eV per atom
mass density = 7.20 g cm⁻³
E above lowest polymorph = 0.000 kcal/mol of atoms

abc: 5.0510 4.8064 4.8064
angles: 90.00 90.00 90.00
Site moments in Bohr magnetons follow the coordinates.
Fractional coordinates of all 4 atoms:
Eu 0.0000 0.0000 0.5000  6.86
Eu 0.0000 0.5000 0.0000  6.86
Lu 0.5000 0.5000 0.5000  0.12
Al 0.5000 0.0000 0.0000  -0.04

=====

# 9
Below is an optimized crystal structure of La9AlSn2, with properties calculated at the GGA-PBE level.

Results
formation energy = -0.391 eV per atom
mass density = 6.65 g cm⁻³

abc: 5.0142 5.0142 15.0424
angles: 90.00 90.00 90.00
Fractional coordinates of all 12 atoms:
La 0.5000 0.5000 0.0000
La 0.5000 0.5000 0.3316
La 0.5000 0.5000 0.6684
La 0.5000 0.0000 0.1642
La 0.5000 0.0000 0.5000
La 0.5000 0.0000 0.8358
La 0.0000 0.5000 0.1642
La 0.0000 0.5000 0.5000
La 0.0000 0.5000 0.8358
Al 0.0000 0.0000 0.0000
Sn 0.0000 0.0000 0.3320
Sn 0.0000 0.0000 0.6680

=====

# 10
Below is an optimized crystal structure of LiYPb, with properties calculated at the GGA-PBE level.

Results
formation energy = -0.396 eV per atom
mass density = 6.91 g cm⁻³

abc: 7.3942 7.3942 4.7027
angles: 90.00 90.00 145.51
Fractional coordinates of all 6 atoms:
Pb 0.1185 0.8815 0.2500
Pb 0.8815 0.1185 0.7500
Y 0.4101 0.5899 0.2500
Y 0.5899 0.4101 0.7500
Li 0.7510 0.2490 0.2500
Li 0.2490 0.7510 0.7500

=====

# 11
Below is an optimized crystal structure of Mn2Ir2Au, with properties calculated at the GGA-PBE level.

Results
formation energy = 0.170 eV per atom
mass density = 16.08 g cm⁻³
E above lowest polymorph = 0.175 kcal/mol of atoms

abc: 7.3099 7.3099 2.6723
angles: 90.00 90.00 90.00
Fractional coordinates of all 10 atoms:
Ir 0.3727 0.8727 0.0000
Ir 0.8727 0.6273 0.0000
Ir 0.6273 0.1273 0.0000
Ir 0.1273 0.3727 0.0000
Au 0.0000 0.0000 0.0000
Au 0.5000 0.5000 0.0000
Mn 0.1660 0.6660 0.5000
Mn 0.6660 0.8340 0.5000
Mn 0.8340 0.3340 0.5000
Mn 0.3340 0.1660 0.5000

=====

# 12
Below is an optimized crystal structure of FeSbRu, with properties calculated at the GGA-PBE level.

Results
mass density = 9.69 g cm⁻³
energy relative to the elements, uncorrected = 0.206 eV/atom

abc: 4.8806 4.8806 3.3438
angles: 69.97 69.97 40.07
Site moments in Bohr magnetons follow the coordinates.
Fractional coordinates of all 3 atoms:
Fe 0.9966 0.9966 0.0034  2.82
Ru 0.3370 0.3370 0.6630  0.91
Sb 0.6665 0.6665 0.3335  0.01

=====

# 13
Below is an optimized crystal structure of Li2AcTb2Tl2, with properties calculated at the GGA-PBE level.

Results
formation energy = -0.201 eV per atom
mass density = 8.11 g cm⁻³

abc: 4.9465 4.9465 9.7756
angles: 75.34 75.34 60.00
Fractional coordinates of all 7 atoms:
Li 0.5835 0.5835 0.2494
Li 0.4165 0.4165 0.7506
Ac 0.0000 0.0000 0.0000
Tb 0.1306 0.1306 0.6083
Tb 0.8694 0.8694 0.3917
Tl 0.7465 0.7465 0.7605
Tl 0.2535 0.2535 0.2395